Density functional theory data (PBE with a Hubbard U) for a relaxed structure of ZrMnO2.

```
16
Lattice="5.5930 0.0000 0.0000 0.0000 5.5930 0.0000 0.0000 0.0000 5.5930" Properties=species:S:1:pos:R:3 pbc="T T T"
Zr 0.0000 0.0000 0.0000
Zr 0.0000 2.7965 2.7965
Zr 2.7965 0.0000 2.7965
Zr 2.7965 2.7965 0.0000
Mn 0.0000 0.0000 2.7965
Mn 0.0000 2.7965 0.0000
Mn 2.7965 0.0000 0.0000
Mn 2.7965 2.7965 2.7965
O 1.3983 1.3983 1.3983
O 1.3983 1.3983 4.1948
O 1.3983 4.1948 1.3983
O 1.3983 4.1948 4.1948
O 4.1948 1.3983 1.3983
O 4.1948 1.3983 4.1948
O 4.1948 4.1948 1.3983
O 4.1948 4.1948 4.1948
```

Results
As for the calculated total energy: -7.967 eV/atom. As for the crystal system: cubic. The value obtained for the magnetic moment is 12.013 Bohr magnetons per cell. The density of states at the Fermi level is 0.02 states/eV/atom.